No. 1
A geometry-optimized Ac6Rh3S2Cl structure, computed with PBE.

density of states at the Fermi level	6.988	states/eV/f.u.
E_form (uncorrected)	-1.277	eV per atom
energy	-6.010	eV/atom

```
Ac6Rh3S2Cl
1.0
9.806 -2.132 0.000
9.806 2.132 0.000
-2.865 0.000 8.657
Ac Rh S Cl
6 3 2 1
Direct
0.004 0.004 0.227
0.324 0.324 0.426
0.337 0.337 0.909
0.663 0.663 0.091
0.676 0.676 0.574
0.996 0.996 0.773
0.165 0.165 0.331
0.500 0.500 0.000
0.835 0.835 0.669
0.164 0.164 0.828
0.836 0.836 0.172
0.500 0.500 0.500
```

---

No. 2
A geometry-optimized PuZn4Pd5 structure, computed with PBE.

density of states at the Fermi level	7.262	states/eV/f.u.
formation energy from the elements	-48.76	kJ per mole of atoms
energy	-5.045	eV/atom

```
PuZn4Pd5
1.0
2.938 0.000 0.000
0.000 2.938 0.000
0.000 0.000 18.056
Pu Zn Pd
1 4 5
Direct
0.000 0.000 0.000
0.000 0.000 0.219
0.000 0.000 0.407
0.000 0.000 0.593
0.000 0.000 0.781
0.500 0.500 0.128
0.500 0.500 0.314
0.500 0.500 0.500
0.500 0.500 0.686
0.500 0.500 0.872
```

---

No. 3
A geometry-optimized Sc2InGa structure, computed with PBE.

density of states at the Fermi level	2.047	states/eV/f.u.
formation energy from the elements	-47.27	kJ per mole of atoms
energy	-5.097	eV/atom

```
Sc2InGa
1.0
4.959 0.000 0.000
0.000 3.386 0.000
0.000 0.000 9.905
Sc In Ga
4 2 2
Direct
0.250 0.000 0.122
0.250 0.000 0.651
0.750 0.000 0.349
0.750 0.000 0.878
0.250 0.500 0.388
0.750 0.500 0.612
0.250 0.500 0.885
0.750 0.500 0.115
```

---

- Which value of energy does entry 2 give?
  -5.045 eV/atom

---

Please write out number 1 again, unchanged.
A geometry-optimized Ac6Rh3S2Cl structure, computed with PBE.

density of states at the Fermi level	6.988	states/eV/f.u.
E_form (uncorrected)	-1.277	eV per atom
energy	-6.010	eV/atom

```
Ac6Rh3S2Cl
1.0
9.806 -2.132 0.000
9.806 2.132 0.000
-2.865 0.000 8.657
Ac Rh S Cl
6 3 2 1
Direct
0.004 0.004 0.227
0.324 0.324 0.426
0.337 0.337 0.909
0.663 0.663 0.091
0.676 0.676 0.574
0.996 0.996 0.773
0.165 0.165 0.331
0.500 0.500 0.000
0.835 0.835 0.669
0.164 0.164 0.828
0.836 0.836 0.172
0.500 0.500 0.500
```